Density functional theory data (PBE) for a relaxed structure of Na3SrGe.

Cell: 6.305 6.305 6.305 Å, 90.00 90.00 90.00°
Each line ends with the local moment (μB).
Fractional positions:
Na  0.000  0.500  0.000  -0.01
Na  0.500  0.000  0.000  -0.02
Na  0.000  0.000  0.500  -0.01
Ge  0.500  0.500  0.500  0.37
Sr  0.000  0.000  0.000  -0.02

Values from the calculation:
E_tot = -5.4 eV per cell
distance to the lowest polymorph of the same formula = 430 kJ/mol of formula units
total magnetization = 0.87 μB/cell
formation enthalpy at 0 K = 0.980 eV/atom
calculated volume = 251 Å³/f.u.
SG = Pm-3m (221)